Entry from the Alexandria database: a relaxed Te5Ru crystal (PBE-GGA).

abc: 13.5349 3.8484 8.0280
angles: 90.00 119.61 90.00
Space group Cm (No. 8)
Asymmetric unit:
Te  0.0000  0.0000  0.0000 [2 per cell]
Te  0.0446  0.5000  0.6127 [2 per cell]
Te  0.1683  0.5000  0.3502 [2 per cell]
Te  0.3119  0.0000  0.7832 [2 per cell]
Te  0.3609  0.0000  0.2234 [2 per cell]
Ru  0.0276  0.0000  0.3542 [2 per cell]

Summary:
- E: -4.141 eV/atom
- Formation energy from raw total energies: 23 meV per atom
- Crystal system: monoclinic